This record from the Alexandria database describes an optimized crystal structure of SrB3Pd. The functional is GGA-PBEsol.

Results
The theoretical density is 5.183 g/cm3. The calculation puts the electronic total energy at -24.6 eV per cell. For the density of states at the Fermi level, the calculation gives 3.74 states/eV per cell. As for the space-group type: No. 221. The formation energy is 19.72 kcal/mol of atoms.

abc: 4.1708 4.1708 4.1708
angles: 90.00 90.00 90.00
Atoms (fractional coordinates):
Sr 0.0000 0.0000 0.0000
B 0.0000 0.5000 0.5000
B 0.5000 0.0000 0.5000
B 0.5000 0.5000 0.0000
Pd 0.5000 0.5000 0.5000